#w
Material: MnCd2Au
Method: DFT, PBE
State: relaxed

Crystal system   monoclinic
Symmetry   Cm (8)

Geometry as POSCAR:
```
MnCd2Au
1.0
-3.566 1.204 -3.472
-3.519 -1.914 -3.189
-4.283 0.189 2.782
Mn Au Cd
1 1 2
Direct
0.507 0.507 0.489
0.239 0.239 0.267
0.995 0.995 0.005
0.758 0.758 0.740
```



#x
Material: MnCd2Au
Method: DFT, PBE
State: relaxed

Crystal system   tetragonal
Symmetry   I-4m2 (119)

Geometry as POSCAR:
```
MnCd2Au
1.0
4.849 -0.606 -0.455
1.515 4.645 0.455
-2.937 -2.405 3.110
Mn Cd Au
1 2 1
Direct
0.500 0.500 0.000
0.000 0.000 0.000
0.750 0.250 0.500
0.250 0.750 0.500
```



#y
Material: MnCd2Au
Method: DFT, PBE
State: relaxed

Crystal system   trigonal
Symmetry   R3m (160)

Geometry as POSCAR:
```
MnCd2Au
1.0
9.827 -0.051 -0.030
9.371 2.960 -0.030
9.371 1.420 2.598
Cd Mn Au
2 1 1
Direct
0.006 0.006 0.006
0.242 0.242 0.242
0.496 0.496 0.496
0.757 0.757 0.757
```



#z
Material: MnCd2Au
Method: DFT, PBE
State: relaxed

Crystal system   tetragonal
Symmetry   I-42d (122)

Geometry as POSCAR:
```
MnCd2Au
1.0
7.730 0.000 0.000
0.000 7.730 0.000
3.865 3.865 2.804
Cd Au Mn
4 2 2
Direct
0.375 0.373 0.750
0.875 0.877 0.750
0.627 0.125 0.250
0.123 0.625 0.250
0.000 0.000 0.000
0.750 0.250 0.500
0.500 0.500 0.000
0.250 0.750 0.500
```



Q: Which of them is the most stable? A: #x.



#w
Material: MnCd2Au
Method: DFT, PBE
State: relaxed

Crystal system   monoclinic
Symmetry   P2/m (10)

Geometry as POSCAR:
```
MnCd2Au
1.0
4.922 0.000 0.000
0.000 3.018 -0.106
0.000 0.397 5.117
Mn Au Cd
1 1 2
Direct
0.500 0.250 0.250
0.500 0.750 0.750
0.000 0.979 0.003
0.000 0.521 0.497
```



#x
Material: MnCd2Au
Method: DFT, PBE
State: relaxed

Crystal system   tetragonal
Symmetry   P4/mmm (123)

Geometry as POSCAR:
```
MnCd2Au
1.0
4.188 0.000 0.000
0.000 4.194 0.000
0.000 0.000 4.276
Cd Mn Au
2 1 1
Direct
0.000 0.000 0.000
0.500 0.500 0.000
0.500 0.000 0.500
0.000 0.500 0.500
```



#y
Material: MnCd2Au
Method: DFT, PBE
State: relaxed

Crystal system   tetragonal
Symmetry   P4/mmm (123)

Geometry as POSCAR:
```
MnCd2Au
1.0
-2.626 0.840 1.300
0.740 -1.568 2.507
3.588 6.531 3.027
Mn Au Cd
1 1 2
Direct
0.500 0.500 0.250
0.500 0.500 0.750
0.000 0.000 0.007
0.000 0.000 0.493
```



#z
Material: MnCd2Au
Method: DFT, PBE
State: relaxed

Crystal system   trigonal
Symmetry   R-3m (166)

Geometry as POSCAR:
```
MnCd2Au
1.0
9.611 -0.056 -0.033
9.149 2.946 -0.033
9.149 1.409 2.587
Cd Au Mn
2 1 1
Direct
0.998 0.998 0.998
0.502 0.502 0.502
0.750 0.750 0.750
0.250 0.250 0.250
```



Q: Which of them is the most stable? A: #x.



#w
Material: MnCd2Au
Method: DFT, PBE
State: relaxed

Crystal system   orthorhombic
Symmetry   Pmm2 (25)

Geometry as POSCAR:
```
MnCd2Au
1.0
-0.254 1.452 2.973
-0.244 -3.016 1.452
6.576 -3.239 2.144
Cd Mn Au
2 1 1
Direct
0.000 0.016 0.983
0.500 0.228 0.272
0.000 0.478 0.522
0.500 0.778 0.722
```



#x
Material: MnCd2Au
Method: DFT, PBE
State: relaxed

Crystal system   tetragonal
Symmetry   I4/mmm (139)

Geometry as POSCAR:
```
MnCd2Au
1.0
-2.942 -3.881 -0.958
1.086 -1.038 -4.731
3.171 0.530 3.781
Au Cd Mn
1 2 1
Direct
0.250 0.750 0.500
0.000 0.000 0.000
0.500 0.500 0.000
0.750 0.250 0.500
```



Q: Which of them is the most stable? A: #w.